No. 1
A plane-wave DFT calculation with PBE was carried out for a geometry-optimized KRbCu2 structure.

```
16
Lattice="8.144 0.000 0.000 0.000 8.144 0.000 0.000 0.000 8.144" Properties=species:S:1:pos:R:3 pbc="T T T"
K 0.000 0.000 0.000
K 0.000 4.072 4.072
K 4.072 0.000 4.072
K 4.072 4.072 0.000
Rb 0.000 0.000 4.072
Rb 0.000 4.072 0.000
Rb 4.072 0.000 0.000
Rb 4.072 4.072 4.072
Cu 2.036 2.036 2.036
Cu 2.036 2.036 6.108
Cu 2.036 6.108 2.036
Cu 2.036 6.108 6.108
Cu 6.108 2.036 2.036
Cu 6.108 2.036 6.108
Cu 6.108 6.108 2.036
Cu 6.108 6.108 6.108
```

Properties
magnetization = 0.000 μB per atom
energy above the lowest structure with this stoichiometry = 0 meV per atom
formation energy from the elements = 0.49 eV per atom
VASP energy = -33.11 eV per cell



No. 2
A plane-wave DFT calculation with PBE was carried out for a geometry-optimized Ta2SbPbS structure.

```
5
Lattice="4.644 0.000 0.000 0.000 4.644 0.000 0.000 0.000 5.487" Properties=species:S:1:pos:R:3 pbc="T T T"
Ta 0.000 2.322 0.000
Ta 2.322 0.000 0.000
Sb 0.000 0.000 2.743
Pb 2.322 2.322 2.743
S 0.000 0.000 0.000
```

Properties
magnetization = 0.000 μB per atom
energy above the lowest structure with this stoichiometry = 30 meV per atom
uncorrected formation energy = 672 meV/atom
VASP energy = -32.30 eV per cell



No. 3
A plane-wave DFT calculation with PBE was carried out for a geometry-optimized Na2Cu2Ge structure.

```
10
Lattice="6.327 0.000 0.000 0.000 6.327 0.000 0.000 0.000 4.843" Properties=species:S:1:pos:R:3 pbc="T T T"
Na 1.125 2.039 0.000
Na 2.039 5.202 0.000
Na 4.288 1.125 0.000
Na 5.202 4.288 0.000
Cu 0.873 4.037 2.421
Cu 2.290 0.873 2.421
Cu 4.037 5.454 2.421
Cu 5.454 2.290 2.421
Ge 0.000 0.000 2.421
Ge 3.163 3.163 2.421
```

Properties
magnetization = 0.000 μB per atom
energy above the lowest structure with this stoichiometry = 0 meV per atom
formation energy from the elements = 0.09 eV per atom
VASP energy = -29.97 eV per cell



No. 4
A plane-wave DFT calculation with PBE was carried out for a geometry-optimized TcSb2PdPb structure.

```
5
Lattice="5.093 0.000 0.000 0.000 5.093 0.000 0.000 0.000 5.286" Properties=species:S:1:pos:R:3 pbc="T T T"
Tc 0.000 0.000 0.000
Sb 0.000 2.546 0.000
Sb 2.546 0.000 0.000
Pd 2.546 2.546 2.643
Pb 0.000 0.000 2.643
```

Properties
magnetization = 0.000 μB per atom
uncorrected formation energy = 551 meV/atom
VASP energy = -24.76 eV per cell



No. 5
A plane-wave DFT calculation with PBE was carried out for a geometry-optimized SnBPb2 structure.

```
16
Lattice="6.273 0.000 0.000 0.000 6.273 0.000 0.000 0.000 11.749" Properties=species:S:1:pos:R:3 pbc="T T T"
Sn 0.000 0.000 0.000
Sn 0.000 3.137 2.937
Sn 3.137 0.000 8.812
Sn 3.137 3.137 5.875
B 0.000 0.000 5.875
B 0.000 3.137 8.812
B 3.137 0.000 2.937
B 3.137 3.137 0.000
Pb 1.067 1.568 7.343
Pb 1.568 4.204 10.281
Pb 1.568 5.206 4.406
Pb 2.070 1.568 1.469
Pb 4.204 4.705 1.469
Pb 4.705 1.067 4.406
Pb 4.705 2.070 10.281
Pb 5.206 4.705 7.343
```

Properties
magnetization = 0.000 μB per atom
energy above the lowest structure with this stoichiometry = 0 meV per atom
formation energy from the elements = 0.65 eV per atom
VASP energy = -62.00 eV per cell



No. 6
A plane-wave DFT calculation with PBE was carried out for a geometry-optimized Ce3PmSm2As6 structure.

```
12
Lattice="3.654 -6.329 0.000 3.654 6.329 0.000 -2.437 0.000 6.887" Properties=species:S:1:pos:R:3 pbc="T T T"
Ce 0.000 0.000 0.000
Ce 3.654 2.108 0.000
Ce 3.654 -2.108 0.000
Pm 2.436 0.000 3.443
Sm 2.436 4.219 3.443
Sm 2.436 -4.219 3.443
As 1.215 2.115 1.702
As -0.006 0.000 5.184
As 1.215 -2.115 1.702
As 3.656 2.115 5.185
As 4.877 0.000 1.703
As 3.656 -2.115 5.185
```

Properties
magnetization = 0.156 μB per atom
formation energy from the elements = -1.48 eV per atom
VASP energy = -77.68 eV per cell



No. 7
A plane-wave DFT calculation with PBE was carried out for a geometry-optimized PmPrIn3 structure.

```
10
Lattice="3.106 -8.348 0.000 3.106 8.348 0.000 0.000 0.000 5.708" Properties=species:S:1:pos:R:3 pbc="T T T"
Pm 3.106 7.202 4.281
Pm 3.106 -7.202 1.427
Pr 3.106 3.282 1.427
Pr 3.106 -3.282 4.281
In 1.492 2.224 4.281
In 1.492 -2.224 1.427
In 3.106 0.000 0.000
In 3.106 0.000 2.854
In 4.720 2.224 4.281
In 4.720 -2.224 1.427
```

Properties
magnetization = 0.000 μB per atom
formation energy from the elements = -0.35 eV per atom
VASP energy = -38.96 eV per cell



No. 8
A plane-wave DFT calculation with PBE was carried out for a geometry-optimized Ac3CeSm2Se6 structure.

```
12
Lattice="3.722 -6.461 0.000 3.722 6.461 0.000 -2.495 0.000 7.140" Properties=species:S:1:pos:R:3 pbc="T T T"
Ac 0.000 0.000 0.000
Ac 3.722 2.152 0.000
Ac 3.722 -2.152 0.000
Ce 2.474 0.000 3.570
Sm 2.474 4.306 3.570
Sm 2.474 -4.306 3.570
Se 1.232 2.163 1.922
Se -0.023 0.000 5.218
Se 1.232 -2.163 1.922
Se 3.716 2.163 5.218
Se 4.971 0.000 1.921
Se 3.716 -2.163 5.218
```

Properties
magnetization = 0.080 μB per atom
uncorrected formation energy = -1834 meV/atom
VASP energy = -70.61 eV per cell



Look up the magnetization of the fifth one. 0.000 μB per atom